First-principles (PBE) data for an optimized crystal structure of Sm4AsPS2, as listed in the Alexandria database.

Cell lengths 7.072, 4.098, 7.103 Å; angles 90.00, 109.61, 90.00 degrees
Space group P2/m (No. 10)
Asymmetric unit:
Sm (0.245, 0.000, 0.243) x2
Sm (0.249, 0.500, 0.755) x2
As (0.000, 0.000, 0.500) x1
P (0.000, 0.500, 0.000) x1
S (0.500, 0.000, 0.000) x1
S (0.500, 0.500, 0.500) x1

- total DFT energy (no corrections) (eV per atom) = -6.478
- crystal system = monoclinic
- E_form (uncorrected) (meV/atom) = -1829

***

First-principles (PBE) data for an optimized crystal structure of Sm6As3P2S, as listed in the Alexandria database.

Cell lengths 18.064, 4.149, 8.299 Å; angles 90.00, 103.19, 90.00 degrees
Space group C2/m (No. 12)
Asymmetric unit:
Sm (0.002, 0.000, 0.251) x4
Sm (0.167, 0.500, 0.088) x4
Sm (0.168, 0.500, 0.579) x4
As (0.000, 0.500, 0.500) x2
As (0.166, 0.000, 0.834) x4
P (0.166, 0.000, 0.332) x4
S (0.000, 0.500, 0.000) x2

- total DFT energy (no corrections) (eV per atom) = -6.423
- crystal system = monoclinic
- E_form (uncorrected) (meV/atom) = -1656

***

First-principles (PBE) data for an optimized crystal structure of SnAsPS2, as listed in the Alexandria database.

Cell lengths 4.809, 4.809, 4.749 Å; angles 90.00, 90.00, 90.00 degrees
Space group P4/mmm (No. 123)
Asymmetric unit:
Sn (0.000, 0.000, 0.000) x1
As (0.500, 0.500, 0.500) x1
P (0.500, 0.500, 0.000) x1
S (0.000, 0.500, 0.500) x2

- total DFT energy (no corrections) (eV per atom) = -4.050
- crystal system = tetragonal
- E_form (uncorrected) (meV/atom) = 414

***

First-principles (PBE) data for an optimized crystal structure of SnAsP2S, as listed in the Alexandria database.

Cell lengths 4.747, 4.747, 4.864 Å; angles 90.00, 90.00, 90.00 degrees
Space group P4/mmm (No. 123)
Asymmetric unit:
Sn (0.000, 0.000, 0.000) x1
As (0.500, 0.500, 0.500) x1
P (0.000, 0.500, 0.500) x2
S (0.500, 0.500, 0.000) x1

- total DFT energy (no corrections) (eV per atom) = -4.095
- crystal system = tetragonal
- E_form (uncorrected) (meV/atom) = 625

***

First-principles (PBE) data for an optimized crystal structure of SrAsP2S8, as listed in the Alexandria database.

Cell lengths 5.9619, 5.9619, 8.8139 Å; angles 90.00, 90.00, 120.00 degrees
Space group P-3 (No. 147)
Asymmetric unit:
Sr (0.0000, 0.0000, 0.0000) x1
As (0.0000, 0.0000, 0.5000) x1
P (0.3333, 0.6667, 0.7460) x2
S (0.0011, 0.3265, 0.6862) x6
S (0.3333, 0.6667, 0.9744) x2

- total DFT energy (no corrections) (eV per atom) = -4.587
- crystal system = trigonal
- E_form (uncorrected) (meV/atom) = -406

***

First-principles (PBE) data for an optimized crystal structure of SrAsP2S, as listed in the Alexandria database.

Cell lengths 4.773, 4.773, 5.091 Å; angles 90.00, 90.00, 90.00 degrees
Space group P4/mmm (No. 123)
Asymmetric unit:
Sr (0.000, 0.000, 0.000) x1
As (0.500, 0.500, 0.500) x1
P (0.000, 0.500, 0.500) x2
S (0.500, 0.500, 0.000) x1

- total DFT energy (no corrections) (eV per atom) = -4.333
- crystal system = tetragonal
- E_form (uncorrected) (meV/atom) = -77

***

First-principles (PBE) data for an optimized crystal structure of Sr6As2PS, as listed in the Alexandria database.

Cell lengths 7.434, 8.238, 13.207 Å; angles 90.00, 123.79, 90.00 degrees
Space group P2_1/c (No. 14)
Asymmetric unit:
Sr (0.101, 0.061, 0.249) x4
Sr (0.255, 0.691, 0.074) x4
Sr (0.393, 0.186, 0.075) x4
As (0.291, 0.094, 0.749) x4
P (0.000, 0.000, 0.000) x2
S (0.500, 0.000, 0.500) x2

- total DFT energy (no corrections) (eV per atom) = -4.093
- crystal system = monoclinic
- E_form (uncorrected) (meV/atom) = -1201

***

First-principles (PBE) data for an optimized crystal structure of SrAsP2S, as listed in the Alexandria database.

Cell lengths 5.859, 5.859, 5.369 Å; angles 90.00, 90.00, 90.00 degrees
Space group P4/mmm (No. 123)
Asymmetric unit:
Sr (0.000, 0.000, 0.000) x1
As (0.500, 0.500, 0.500) x1
P (0.000, 0.500, 0.000) x2
S (0.000, 0.000, 0.500) x1

- total DFT energy (no corrections) (eV per atom) = -2.955
- crystal system = tetragonal
- E_form (uncorrected) (meV/atom) = 1300